Entry 1:
HfTcRu | PBE-GGA | optimized geometry

abc: 8.9833 4.3860 5.5054
angles: 90.00 112.85 90.00
Space group Cm (No. 8)
Symmetry-distinct sites (fractional):
Hf 0.0000 0.0000 0.0000 (multiplicity 2)
Hf 0.2444 0.5000 0.3254 (multiplicity 2)
Tc 0.0748 0.0000 0.5516 (multiplicity 2)
Tc 0.3691 0.0000 0.6578 (multiplicity 2)
Ru 0.1770 0.5000 0.7840 (multiplicity 2)
Ru 0.3750 0.0000 0.1628 (multiplicity 2)

Values from the calculation:
VASP energy: -10.068 eV/atom
V: 199.9 Å³/cell
formation energy: -0.20 eV/atom
ΔE to the lowest computed polymorph: 159.5 meV/atom
spin magnetization: 0.0000 μB/atom
D(E_F): 0.9207 states/eV per atom
mass density: 12.5 g/cm³

=====

Entry 2:
Ac6HgRh2Br3 | PBE-GGA | optimized geometry

abc: 20.9838 4.3883 9.8229
angles: 90.00 109.11 90.00
Space group C2/m (No. 12)
Symmetry-distinct sites (fractional):
Ac 0.0213 0.0000 0.2538 (multiplicity 4)
Ac 0.1631 0.5000 0.1282 (multiplicity 4)
Ac 0.1821 0.5000 0.5571 (multiplicity 4)
Hg 0.0000 0.5000 0.0000 (multiplicity 2)
Rh 0.1689 0.0000 0.3408 (multiplicity 4)
Br 0.0000 0.5000 0.5000 (multiplicity 2)
Br 0.1646 0.0000 0.8415 (multiplicity 4)

Values from the calculation:
VASP energy: -4.757 eV/atom
V: 854.7 Å³/cell
E_form (uncorrected): -1197 kJ/mol of formula units
spin magnetization: 0.0000 μB/atom
D(E_F): 0.7462 states/eV per atom
mass density: 7.8 g/cm³

=====

Entry 3:
Pr2Sm3PuTe6 | PBE-GGA | optimized geometry

abc: 19.5045 4.4500 8.9856
angles: 90.00 103.43 90.00
Space group C2/m (No. 12)
Symmetry-distinct sites (fractional):
Pr 0.1664 0.0000 0.3327 (multiplicity 4)
Sm 0.0000 0.5000 0.5000 (multiplicity 2)
Sm 0.1692 0.0000 0.8357 (multiplicity 4)
Pu 0.0000 0.5000 0.0000 (multiplicity 2)
Te 0.0025 0.0000 0.7526 (multiplicity 4)
Te 0.1651 0.5000 0.0782 (multiplicity 4)
Te 0.1651 0.5000 0.5874 (multiplicity 4)

Values from the calculation:
VASP energy: -6.108 eV/atom
V: 758.6 Å³/cell
E_form (uncorrected): -1582 kJ/mol of formula units
spin magnetization: 0.5041 μB/atom
D(E_F): 1.1614 states/eV per atom
mass density: 7.6 g/cm³

=====

Entry 4:
La5Tb4Y4 | PBE-GGA | optimized geometry

abc: 13.1266 13.1266 5.1405
angles: 90.00 90.00 90.00
Space group I4/m (No. 87)
Symmetry-distinct sites (fractional):
La 0.0000 0.0000 0.0000 (multiplicity 2)
La 0.0392 0.8071 0.5000 (multiplicity 8)
Tb 0.1553 0.2338 0.0000 (multiplicity 8)
Y 0.0761 0.6139 0.0000 (multiplicity 8)

Values from the calculation:
VASP energy: -5.281 eV/atom
V: 885.7 Å³/cell
formation energy: 0.03 eV/atom
spin magnetization: 0.0000 μB/atom
D(E_F): 1.7449 states/eV per atom
mass density: 6.3 g/cm³

=====

Entry 5:
HgTePt2 | PBE-GGA | optimized geometry

abc: 4.0666 4.0666 9.3533
angles: 90.00 90.00 90.00
Space group I-4m2 (No. 119)
Symmetry-distinct sites (fractional):
Hg 0.0000 0.0000 0.0000 (multiplicity 2)
Te 0.0000 0.5000 0.2500 (multiplicity 2)
Pt 0.0000 0.0000 0.5000 (multiplicity 2)
Pt 0.0000 0.5000 0.7500 (multiplicity 2)

Values from the calculation:
VASP energy: -3.717 eV/atom
V: 154.7 Å³/cell
E_form (uncorrected): 63 kJ/mol of formula units
ΔE to the lowest computed polymorph: 212.7 meV/atom
spin magnetization: 0.0000 μB/atom
D(E_F): 0.8161 states/eV per atom
mass density: 15.4 g/cm³

=====

Entry 6:
Ho16Er7Tm6 | PBE-GGA | optimized geometry

abc: 15.5114 15.5114 15.5114
angles: 90.00 90.00 90.00
Space group Fm-3m (No. 225)
Symmetry-distinct sites (fractional):
Ho 0.1224 0.1224 0.1224 (multiplicity 32)
Ho 0.1512 0.1512 0.3488 (multiplicity 32)
Er 0.0000 0.0000 0.0000 (multiplicity 4)
Er 0.0000 0.2500 0.2500 (multiplicity 24)
Tm 0.0000 0.0000 0.2752 (multiplicity 24)

Values from the calculation:
VASP energy: -4.304 eV/atom
V: 3732.1 Å³/cell
formation energy: 0.25 eV/atom
spin magnetization: 0.0002 μB/atom
D(E_F): 1.7708 states/eV per atom
mass density: 8.6 g/cm³

=====

Entry 7:
MgCd3Ag | PBE-GGA | optimized geometry

abc: 6.4109 4.1904 15.4649
angles: 90.00 90.00 90.00
Space group Pnma (No. 62)
Symmetry-distinct sites (fractional):
Mg 0.1281 0.2500 0.1486 (multiplicity 4)
Cd 0.1136 0.2500 0.3546 (multiplicity 4)
Cd 0.1288 0.2500 0.7505 (multiplicity 4)
Cd 0.1310 0.2500 0.9520 (multiplicity 4)
Ag 0.1343 0.2500 0.5502 (multiplicity 4)

Values from the calculation:
VASP energy: -1.505 eV/atom
V: 415.5 Å³/cell
formation energy: -0.07 eV/atom
ΔE to the lowest computed polymorph: 0.0 meV/atom
spin magnetization: 0.0000 μB/atom
D(E_F): 0.3276 states/eV per atom
mass density: 7.5 g/cm³

=====

Entry 8:
KAg2HgAu | PBE-GGA | optimized geometry

abc: 5.7473 5.7473 5.9948
angles: 90.00 90.00 90.00
Space group P4/mmm (No. 123)
Symmetry-distinct sites (fractional):
K 0.0000 0.0000 0.0000 (multiplicity 1)
Ag 0.0000 0.5000 0.0000 (multiplicity 2)
Hg 0.0000 0.0000 0.5000 (multiplicity 1)
Au 0.5000 0.5000 0.5000 (multiplicity 1)

Values from the calculation:
VASP energy: -1.045 eV/atom
V: 198.0 Å³/cell
formation energy: 1.03 eV/atom
ΔE to the lowest computed polymorph: 983.6 meV/atom
spin magnetization: 0.0000 μB/atom
D(E_F): 0.3729 states/eV per atom
mass density: 5.5 g/cm³

=====

Entry 9:
SmBe2ZnPt5 | PBE-GGA | optimized geometry

abc: 4.4143 4.4143 7.1531
angles: 90.00 90.00 90.00
Space group P4/mmm (No. 123)
Symmetry-distinct sites (fractional):
Sm 0.0000 0.0000 0.0000 (multiplicity 1)
Be 0.5000 0.5000 0.3370 (multiplicity 2)
Zn 0.0000 0.0000 0.5000 (multiplicity 1)
Pt 0.0000 0.5000 0.2875 (multiplicity 4)
Pt 0.5000 0.5000 0.0000 (multiplicity 1)

Values from the calculation:
VASP energy: -5.486 eV/atom
V: 139.4 Å³/cell
formation energy: -0.64 eV/atom
spin magnetization: 0.0000 μB/atom
D(E_F): 0.3456 states/eV per atom
mass density: 14.4 g/cm³

=====

Entry 10:
Zr3BP | PBE-GGA | optimized geometry

abc: 4.5412 4.5412 4.5412
angles: 90.00 90.00 90.00
Space group Pm-3m (No. 221)
Symmetry-distinct sites (fractional):
Zr 0.0000 0.0000 0.5000 (multiplicity 3)
B 0.0000 0.0000 0.0000 (multiplicity 1)
P 0.5000 0.5000 0.5000 (multiplicity 1)

Values from the calculation:
VASP energy: -7.795 eV/atom
V: 93.7 Å³/cell
formation energy: -0.25 eV/atom
ΔE to the lowest computed polymorph: 554.3 meV/atom
spin magnetization: 0.0000 μB/atom
D(E_F): 0.7534 states/eV per atom
mass density: 5.6 g/cm³

=====

Entry 11:
Fe5Co | PBE-GGA | optimized geometry

abc: 4.0192 12.0653 2.8534
angles: 90.00 90.00 90.00
Space group Cmmm (No. 65)
Symmetry-distinct sites (fractional):
Fe 0.0000 0.0000 0.0000 (multiplicity 2)
Fe 0.0000 0.1668 0.5000 (multiplicity 4)
Fe 0.0000 0.3341 0.0000 (multiplicity 4)
Co 0.0000 0.5000 0.5000 (multiplicity 2)

Values from the calculation:
VASP energy: -8.265 eV/atom
V: 138.4 Å³/cell
formation energy: -0.03 eV/atom
spin magnetization: 2.3359 μB/atom
D(E_F): 0.7968 states/eV per atom
mass density: 8.1 g/cm³

=====

Entry 12:
Dy2ThPt9 | PBE-GGA | optimized geometry

abc: 4.1619 4.1619 12.4434
angles: 90.00 90.00 90.00
Space group P4/mmm (No. 123)
Symmetry-distinct sites (fractional):
Dy 0.0000 0.0000 0.1625 (multiplicity 2)
Th 0.0000 0.0000 0.5000 (multiplicity 1)
Pt 0.0000 0.5000 0.0000 (multiplicity 2)
Pt 0.0000 0.5000 0.3290 (multiplicity 4)
Pt 0.5000 0.5000 0.1642 (multiplicity 2)
Pt 0.5000 0.5000 0.5000 (multiplicity 1)

Values from the calculation:
VASP energy: -6.996 eV/atom
V: 215.5 Å³/cell
formation energy: -1.08 eV/atom
spin magnetization: 0.0000 μB/atom
D(E_F): 0.5323 states/eV per atom
mass density: 17.8 g/cm³